(1)
{"formula": "ErZn2Pt3", "functional": "PBE", "state": "optimized geometry", "lattice": [[4.393, 0.000, 0.000], [-2.197, 3.805, 0.000], [0.000, 0.000, 12.234]], "species": ["Er", "Er", "Pt", "Pt", "Pt", "Pt", "Pt", "Pt", "Zn", "Zn", "Zn", "Zn"], "frac_coords": [[0.000, 0.000, 0.250], [0.000, 0.000, 0.750], [0.000, 0.000, 0.000], [0.333, 0.667, 0.131], [0.333, 0.667, 0.369], [0.000, 0.000, 0.500], [0.667, 0.333, 0.631], [0.667, 0.333, 0.869], [0.667, 0.333, 0.083], [0.667, 0.333, 0.417], [0.333, 0.667, 0.583], [0.333, 0.667, 0.917]], "magmom_total_mub_per_fu": 0.00, "ef_ev_per_fu": -5.067}


(2)
{"formula": "NpFeTe", "functional": "PBE", "state": "optimized geometry", "lattice": [[2.047, -2.832, -2.937], [0.934, -4.292, 1.242], [-2.337, -3.467, -1.833]], "species": ["Fe", "Np", "Te"], "frac_coords": [[0.250, 0.250, 0.250], [0.750, 0.750, 0.750], [0.000, 0.000, 0.000]], "magmom_total_mub_per_fu": 0.50, "e_tot_ev_per_atom": -7.071}


(3)
{"formula": "Ba2Pd3Cl2O4", "functional": "PBE", "state": "optimized geometry", "lattice": [[-2.908, 2.908, 6.683], [2.908, -2.908, 6.683], [2.908, 2.908, -6.683]], "species": ["Ba", "Ba", "Cl", "Cl", "O", "O", "O", "O", "Pd", "Pd", "Pd"], "frac_coords": [[0.853, 0.353, 0.500], [0.147, 0.647, 0.500], [0.250, 0.250, 0.000], [0.750, 0.750, 0.000], [0.750, 0.250, 0.000], [0.750, 0.750, 0.500], [0.250, 0.250, 0.500], [0.250, 0.750, 0.000], [0.000, 0.000, 0.000], [0.500, 0.500, 0.000], [0.500, 0.000, 0.500]], "e_tot_ev_per_atom": -5.192}


(4)
{"formula": "Ho2SnAu", "functional": "PBE", "state": "optimized geometry", "lattice": [[4.451, 0.000, 0.000], [0.000, 2.049, 5.630], [0.000, -2.049, 5.630]], "species": ["Au", "Ho", "Ho", "Sn"], "frac_coords": [[0.000, 0.090, 0.090], [0.000, 0.354, 0.354], [0.500, 0.639, 0.639], [0.500, 0.916, 0.916]], "magmom_total_mub_per_fu": 0.00, "e_tot_ev_per_atom": -4.892}


(5)
{"formula": "KNaAsAu", "functional": "PBE", "state": "optimized geometry", "lattice": [[6.126, 0.000, 0.000], [0.000, 3.703, 4.753], [0.000, -3.703, 4.753]], "species": ["As", "As", "Au", "Au", "K", "K", "Na", "Na"], "frac_coords": [[0.750, 0.779, 0.239], [0.250, 0.239, 0.779], [0.000, 0.494, 0.494], [0.500, 0.494, 0.494], [0.750, 0.330, 0.021], [0.250, 0.021, 0.330], [0.750, 0.974, 0.670], [0.250, 0.670, 0.974]], "relative_energy_mev_per_atom": 9}


(6)
{"formula": "NdPN2", "functional": "PBE", "state": "optimized geometry", "lattice": [[3.469, -3.100, 0.000], [3.469, 3.100, 0.000], [-3.085, 0.000, 6.088]], "species": ["N", "N", "N", "N", "Nd", "Nd", "P", "P"], "frac_coords": [[0.919, 0.334, 0.147], [0.666, 0.081, 0.353], [0.334, 0.919, 0.647], [0.081, 0.666, 0.853], [0.149, 0.851, 0.250], [0.851, 0.149, 0.750], [0.651, 0.349, 0.250], [0.349, 0.651, 0.750]], "magmom_total_mub_per_fu": 0.00, "e_tot_ev_per_atom": -7.644}


(7)
{"formula": "DyMg2", "functional": "PBE", "state": "optimized geometry", "lattice": [[-0.484, 1.453, 5.827], [-3.154, 4.864, 1.640], [-5.276, -0.646, 2.837]], "species": ["Dy", "Dy", "Mg", "Mg", "Mg", "Mg"], "frac_coords": [[0.000, 0.000, 0.000], [0.250, 0.250, 0.250], [0.625, 0.625, 0.125], [0.625, 0.125, 0.625], [0.125, 0.625, 0.625], [0.625, 0.625, 0.625]], "magmom_total_mub_per_fu": 0.02, "e_tot_ev_per_atom": -2.635}


(8)
{"formula": "PrGdCd6", "functional": "PBE", "state": "optimized geometry", "lattice": [[-3.225, -0.447, 3.980], [-3.816, -5.005, -3.655], [2.962, -3.707, 1.984]], "species": ["Cd", "Cd", "Cd", "Cd", "Cd", "Cd", "Gd", "Pr"], "frac_coords": [[0.000, 0.246, 0.246], [0.000, 0.754, 0.246], [0.500, 0.000, 0.253], [0.000, 0.500, 0.747], [0.500, 0.246, 0.754], [0.500, 0.754, 0.754], [0.000, 0.000, 0.746], [0.500, 0.500, 0.254]], "magmom_total_mub_per_fu": 0.01, "ef_ev_per_fu": -2.498}


(9)
{"formula": "Nd2Gd2CI5", "functional": "PBE", "state": "optimized geometry", "lattice": [[-7.145, -1.977, -6.457], [-8.445, -3.912, -3.167], [-2.580, 7.629, 3.466]], "species": ["C", "Gd", "Gd", "I", "I", "I", "I", "I", "Nd", "Nd"], "frac_coords": [[0.500, 0.500, 0.000], [0.999, 0.999, 0.190], [0.001, 0.001, 0.810], [0.833, 0.833, 0.187], [0.161, 0.161, 0.351], [0.500, 0.500, 0.500], [0.839, 0.839, 0.649], [0.167, 0.167, 0.813], [0.635, 0.635, 0.068], [0.365, 0.365, 0.932]], "magmom_total_mub_per_fu": 0.01, "relative_energy_mev_per_atom": 4}


(10)
{"formula": "LiAlFeMo", "functional": "PBE", "state": "optimized geometry", "lattice": [[-1.487, -2.706, -2.738], [-2.718, 1.231, -2.850], [1.131, 0.240, -3.961]], "species": ["Al", "Fe", "Li", "Mo"], "frac_coords": [[0.500, 0.500, 0.500], [0.250, 0.250, 0.250], [0.750, 0.750, 0.750], [0.000, 0.000, 0.000]], "magmom_total_mub_per_fu": 0.00, "relative_energy_mev_per_atom": 0}


(11)
{"formula": "LiCoAgSb", "functional": "PBE", "state": "optimized geometry", "lattice": [[-4.060, -0.877, 1.550], [-1.302, 1.690, 3.887], [-3.070, 3.197, 0.110]], "species": ["Ag", "Co", "Li", "Sb"], "frac_coords": [[0.500, 0.500, 0.500], [0.750, 0.750, 0.750], [0.250, 0.250, 0.250], [0.000, 0.000, 0.000]], "magmom_total_mub_per_fu": 0.01, "relative_energy_mev_per_atom": 0}


(12)
{"formula": "Dy2ErAlC", "functional": "PBE", "state": "optimized geometry", "lattice": [[4.872, 0.000, 0.000], [0.000, 4.872, 0.000], [0.000, 0.000, 4.834]], "species": ["Al", "C", "Dy", "Dy", "Er"], "frac_coords": [[0.000, 0.000, 0.000], [0.500, 0.500, 0.500], [0.500, 0.000, 0.500], [0.000, 0.500, 0.500], [0.500, 0.500, 0.000]], "magmom_total_mub_per_fu": 0.00, "e_tot_ev_per_atom": -5.750}